(1)
First-principles (PBE) data for crystalline CeBP3 at its relaxed geometry, as listed in Alexandria via LeMat-Bulk.

Properties
Crystal system: monoclinic
N(E_F), states/eV per cell: 6.93
Energy of formation from the pure elements, eV per atom: -0.260
Energy, eV for the cell shown: -60.3
Magnetization, μB/f.u.: 0.4

Lattice parameters (Å, degrees): 3.3450 8.0411 7.9455 108.28 102.15 90.00
With the nearest neighbours (Å) after each atom.
Fractional coordinates of all 10 atoms:
Ce: 0.7698 0.7484 0.5397  6 P 2.75-2.95
Ce: 0.2302 0.2516 0.4603  6 P 2.75-2.95
B: 0.5255 0.7851 0.0510  3 P 1.85-1.92
B: 0.4745 0.2149 0.9490  3 P 1.85-1.92
P: 0.9628 0.7196 0.9255  2 B 1.92, 1 P 2.13
P: 0.0372 0.2804 0.0745  2 B 1.92, 1 P 2.13
P: 0.3595 0.0519 0.7191  1 B 1.85
P: 0.6405 0.9481 0.2809  1 B 1.85
P: 0.1462 0.5224 0.2923  1 P 2.13
P: 0.8538 0.4776 0.7077  1 P 2.13

=====

(2)
First-principles (PBE) data for crystalline TlHF2 at its relaxed geometry, as listed in Alexandria via LeMat-Bulk.

Properties
Crystal system: trigonal
N(E_F), states/eV per cell: 0.00
Energy, eV for the cell shown: -16.5
Magnetization, μB/f.u.: 0.0
Distance to the lowest polymorph of the same formula, eV per atom: 0.005

Lattice parameters (Å, degrees): 5.7344 5.7344 5.7344 42.60 42.60 42.60
With the nearest neighbours (Å) after each atom.
Fractional coordinates of all 4 atoms:
H: 0.0000 0.0000 0.0000  2 F 1.15
Tl: 0.5000 0.5000 0.5000  6 F 2.81
F: 0.9263 0.9263 0.9263  1 H 1.15
F: 0.0737 0.0737 0.0737  1 H 1.15

=====

(3)
First-principles (PBE) data for crystalline In4HgF4 at its relaxed geometry, as listed in Alexandria via LeMat-Bulk.

Properties
Crystal system: triclinic
Energy, eV for the cell shown: -32.2
Magnetization, μB/f.u.: 0.0

Lattice parameters (Å, degrees): 6.6421 6.1650 7.9300 82.33 46.30 76.72
With the nearest neighbours (Å) after each atom.
Fractional coordinates of all 9 atoms:
In: 0.8889 0.4842 0.8264  3 F 2.34-2.38
In: 0.1111 0.5158 0.1736  3 F 2.34-2.38
In: 0.3463 0.8779 0.4224  3 F 2.33-2.44
In: 0.6537 0.1221 0.5776  3 F 2.33-2.44
Hg: 0.0000 0.0000 0.0000  6 In 3.26-3.52
F: 0.4285 0.6404 0.1634  3 In 2.34-2.35
F: 0.5715 0.3596 0.8366  3 In 2.34-2.35
F: 0.1294 0.1858 0.3596  3 In 2.33-2.44
F: 0.8706 0.8142 0.6404  3 In 2.33-2.44

=====

(4)
First-principles (PBE) data for crystalline FeOs2Se at its relaxed geometry, as listed in Alexandria via LeMat-Bulk.

Properties
Crystal system: cubic
N(E_F), states/eV per cell: 2.78
Energy, eV for the cell shown: -31.5
Magnetization, μB/f.u.: 2.4

Lattice parameters (Å, degrees): 4.3486 4.3486 4.3486 60.00 60.00 60.00
With the nearest neighbours (Å) after each atom.
Fractional coordinates of all 4 atoms:
Fe: 0.5000 0.5000 0.5000  4 Os 2.66, 4 Se 2.66
Os: 0.0000 0.0000 0.0000  4 Se 2.66, 4 Os 2.66
Os: 0.2500 0.2500 0.2500  4 Fe 2.66, 4 Os 2.66
Se: 0.7500 0.7500 0.7500  4 Os 2.66, 4 Fe 2.66

=====

(5)
First-principles (PBE) data for crystalline NaCe2Er3Te6 at its relaxed geometry, as listed in Alexandria via LeMat-Bulk.

Properties
Crystal system: monoclinic
N(E_F), states/eV per cell: 16.41
Energy, eV for the cell shown: -61.3
Magnetization, μB/f.u.: 2.5

Lattice parameters (Å, degrees): 4.3577 8.9301 9.9061 103.88 102.71 90.00
With the nearest neighbours (Å) after each atom.
Fractional coordinates of all 12 atoms:
Na: 0.5000 0.0000 0.0000  6 Te 3.15-3.16
Ce: 0.8303 0.6609 0.6605  6 Te 3.15-3.22
Ce: 0.1697 0.3391 0.3395  6 Te 3.15-3.22
Er: 0.5000 0.5000 0.0000  6 Te 3.04-3.08
Er: 0.8329 0.1720 0.6658  6 Te 3.03-3.09
Er: 0.1671 0.8280 0.3342  6 Te 3.03-3.09
Te: 0.3320 0.9270 0.6641  3 Er 3.08-3.09, 1 Na 3.15, 2 Ce 3.22
Te: 0.6621 0.5902 0.3243  3 Er 3.03-3.04, 3 Ce 3.15-3.16
Te: 0.6680 0.0730 0.3359  3 Er 3.08-3.09, 1 Na 3.15, 2 Ce 3.22
Te: 0.9977 0.2551 0.9954  3 Er 3.08-3.09, 2 Na 3.16, 1 Ce 3.22
Te: 0.0023 0.7449 0.0046  3 Er 3.08-3.09, 2 Na 3.16, 1 Ce 3.22
Te: 0.3379 0.4098 0.6757  3 Er 3.03-3.04, 3 Ce 3.15-3.16

=====

(6)
First-principles (PBE) data for crystalline Li2PrAg2Sn2 at its relaxed geometry, as listed in Alexandria via LeMat-Bulk.

Properties
Crystal system: trigonal
N(E_F), states/eV per cell: 2.35
Energy of formation from the pure elements, eV per atom: -0.426
Energy, eV for the cell shown: -25.3
Magnetization, μB/f.u.: 0.0

Lattice parameters (Å, degrees): 4.6861 4.6861 8.5335 74.06 74.06 60.00
With the nearest neighbours (Å) after each atom.
Fractional coordinates of all 7 atoms:
Li: 0.1400 0.1400 0.5801  3 Ag 2.84, 4 Sn 2.85-3.12, 3 Li 3.00
Li: 0.8600 0.8600 0.4199  3 Ag 2.84, 4 Sn 2.85-3.12, 3 Li 3.00
Pr: 0.0000 0.0000 0.0000  6 Sn 3.27, 2 Li 3.40
Ag: 0.5623 0.5623 0.3131  3 Sn 2.79, 3 Li 2.84, 1 Ag 3.02
Ag: 0.4377 0.4377 0.6869  3 Sn 2.79, 3 Li 2.84, 1 Ag 3.02
Sn: 0.7425 0.7425 0.7726  3 Ag 2.79, 4 Li 2.85-3.12
Sn: 0.2575 0.2575 0.2274  3 Ag 2.79, 4 Li 2.85-3.12

=====

Copy entry 4 word for word.
First-principles (PBE) data for crystalline FeOs2Se at its relaxed geometry, as listed in Alexandria via LeMat-Bulk.

Properties
Crystal system: cubic
N(E_F), states/eV per cell: 2.78
Energy, eV for the cell shown: -31.5
Magnetization, μB/f.u.: 2.4

Lattice parameters (Å, degrees): 4.3486 4.3486 4.3486 60.00 60.00 60.00
With the nearest neighbours (Å) after each atom.
Fractional coordinates of all 4 atoms:
Fe: 0.5000 0.5000 0.5000  4 Os 2.66, 4 Se 2.66
Os: 0.0000 0.0000 0.0000  4 Se 2.66, 4 Os 2.66
Os: 0.2500 0.2500 0.2500  4 Fe 2.66, 4 Os 2.66
Se: 0.7500 0.7500 0.7500  4 Os 2.66, 4 Fe 2.66

=====

- What is the formula in the fifth record?
  NaCe2Er3Te6

=====

- Which value of magnetization does entry 2 give?
  0.0 μB/f.u.

=====

- Which formula does entry 6 have?
  Li2PrAg2Sn2